Here is a relaxed structure of In2RePb from Alexandria via LeMat-Bulk. Energies are from GGA-PBE.

Unit cell a=5.416 b=5.416 c=5.416 alpha=131.85 beta=131.85 gamma=70.47
Sites, in units of the cell vectors:
1 In 0.250 0.750 0.500
2 In 0.750 0.250 0.500
3 Re 0.000 0.000 0.000
4 Pb 0.500 0.500 0.000

## Properties
Symmetry: No. 139
Volume: 21.6 Å³ per atom
Total magnetization: 0.0 Bohr magnetons per cell
Formation energy from the elements: 0.824 eV per atom
ΔE to the lowest computed polymorph: 0.379 eV per atom
Raw total energy: -0.168 hartree per atom

Here is a relaxed structure of K3Pm2ThTe6 from Alexandria via LeMat-Bulk. Energies are from GGA-PBE.

Unit cell a=7.877 b=7.877 c=8.732 alpha=98.64 beta=98.64 gamma=120.00
Sites, in units of the cell vectors:
1 K 0.000 0.000 0.000
2 K 0.332 0.668 0.000
3 K 0.668 0.332 0.000
4 Pm 0.166 0.834 0.500
5 Pm 0.834 0.166 0.500
6 Th 0.500 0.500 0.500
7 Te 0.097 0.428 0.284
8 Te 0.242 0.242 0.716
9 Te 0.428 0.097 0.284
10 Te 0.572 0.903 0.716
11 Te 0.758 0.758 0.284
12 Te 0.903 0.572 0.716

## Properties
Symmetry: No. 12
Volume: 37.3 Å³ per atom
Total magnetization: 0.0 Bohr magnetons per cell
Raw total energy: -0.169 hartree per atom